# 1
The following is a DFT calculation (PBE-GGA) of YEr2Rh2 after structural relaxation.

Lattice parameters (Å, degrees): 13.195 13.195 4.623 90.00 90.00 163.54
Fractional coordinates of all 10 atoms:
Y: 0.137 0.863 0.750
Y: 0.863 0.137 0.250
Er: 0.236 0.764 0.250
Er: 0.448 0.552 0.750
Er: 0.552 0.448 0.250
Er: 0.764 0.236 0.750
Rh: 0.032 0.968 0.750
Rh: 0.339 0.661 0.750
Rh: 0.661 0.339 0.250
Rh: 0.968 0.032 0.250

Results
**ΔE to the lowest computed polymorph**: 88 meV/atom
**ΔH_f (0 K)**: -0.6361 eV per atom
**Size of the total moment**: 0.0 μB per cell

***

# 2
The following is a DFT calculation (PBE-GGA) of CrSiP2 after structural relaxation.

Lattice parameters (Å, degrees): 4.081 4.351 4.351 43.83 90.00 90.00
Fractional coordinates of all 4 atoms:
Cr: 0.000 0.000 0.000
Si: 0.500 0.417 0.417
P: 0.000 0.715 0.715
P: 0.500 0.136 0.136

Results
**ΔE_f (raw)**: -0.016 eV per atom
**Size of the total moment**: 0.0 μB per cell

***

# 3
The following is a DFT calculation (PBE-GGA) of TlFe2Pt after structural relaxation.

Lattice parameters (Å, degrees): 4.808 4.808 4.808 130.94 130.94 71.91
Fractional coordinates of all 4 atoms:
Tl: 0.000 0.000 0.000
Fe: 0.250 0.750 0.500
Fe: 0.500 0.500 0.000
Pt: 0.750 0.250 0.500

Results
**ΔE to the lowest computed polymorph**: 28 meV/atom
**ΔH_f (0 K)**: 0.2173 eV per atom
**Size of the total moment**: 5.3 μB per cell